Below is a relaxed Li3Cr5O8 crystal, with properties calculated at the PBE+U level.

Computed properties:
**Raw total energy**: -7.0751 eV/atom

a b c (Å): 6.0013 6.1031 6.0787
angles (deg): 119.76 90.00 119.45
Closest atoms and distances in Å follow each position.
Sites, in units of the cell vectors:
O1 0.2621 0.5243 0.2793  3 Cr 2.07-2.08, 3 Li 2.21-2.29
O2 0.7622 0.0292 0.2835  4 Cr 2.05-2.21, 1 Li 2.23
O3 0.2671 0.0292 0.2835  4 Cr 2.05-2.21, 1 Li 2.23
O4 0.2378 0.9708 0.7165  4 Cr 2.05-2.21, 1 Li 2.23
O5 0.2667 0.5335 0.7447  3 Cr 2.04-2.05, 2 Li 2.24
O6 0.7333 0.4665 0.2553  3 Cr 2.04-2.05, 2 Li 2.24
O7 0.7329 0.9708 0.7165  4 Cr 2.05-2.21, 1 Li 2.23
O8 0.7379 0.4757 0.7207  3 Cr 2.07-2.08, 3 Li 2.21-2.29
Cr1 0.5000 0.0000 0.5000  6 O 2.05-2.08
Cr2 0.0000 0.0000 0.5000  4 O 2.07
Cr3 0.5000 0.0000 0.0000  6 O 2.04-2.21
Cr4 0.5000 0.5000 0.5000  6 O 2.05-2.07
Cr5 0.0000 0.5000 0.5000  6 O 2.05-2.07
Li1 0.0000 0.5000 0.0000  6 O 2.21-2.31
Li2 0.5000 0.5000 0.0000  6 O 2.21-2.31
Li3 0.0000 0.0000 0.0000  6 O 2.23-2.29